Entry 1:
Below is crystalline As2PbBrCl at its relaxed geometry, with properties calculated at the GGA-PBE level.

```
As2PbBrCl
1.0
5.6389 0.0000 0.0000
0.0000 5.6389 0.0000
0.0000 0.0000 5.5958
As Pb Br Cl
2 1 1 1
direct
0.0000 0.5000 0.0000
0.5000 0.0000 0.0000
0.0000 0.0000 0.0000
0.0000 0.0000 0.5000
0.5000 0.5000 0.5000
```

Computed properties:
**Uncorrected formation energy**: 65.3 kJ per mole of atoms
**Density of states at the Fermi level**: 6.13 states/eV per cell
**Distance to the lowest polymorph of the same formula**: 0.205 eV/atom

***

Entry 2:
Below is crystalline KRbSr2P at its relaxed geometry, with properties calculated at the GGA-PBE level.

```
KRbSr2P
1.0
6.0312 0.0000 0.0000
0.0000 6.0312 0.0000
0.0000 0.0000 6.9322
K Rb Sr P
1 1 2 1
direct
0.0000 0.0000 0.0000
0.5000 0.5000 0.0000
0.0000 0.5000 0.5000
0.5000 0.0000 0.5000
0.0000 0.0000 0.5000
```

Computed properties:
**Density of states at the Fermi level**: 3.21 states/eV per cell
**Energy of formation**: -323 meV per atom

***

Entry 3:
Below is crystalline La2Sm2Ru at its relaxed geometry, with properties calculated at the GGA-PBE level.

```
La2Sm2Ru
1.0
11.9285 -2.2418 0.0000
11.9285 2.2418 0.0000
-0.2419 0.0000 6.0420
La Sm Ru
4 4 2
direct
0.0525 0.0525 0.2621
0.3099 0.3099 0.5384
0.6901 0.6901 0.4616
0.9475 0.9475 0.7379
0.1907 0.1907 0.9976
0.4304 0.4304 0.2205
0.5696 0.5696 0.7795
0.8093 0.8093 0.0024
0.1274 0.1274 0.6018
0.8726 0.8726 0.3982
```

Computed properties:
**Density of states at the Fermi level**: 11.65 states/eV per cell
**Energy of formation**: -143 meV per atom

***

Entry 4:
Below is crystalline CaSi at its relaxed geometry, with properties calculated at the GGA-PBE level.

```
CaSi
1.0
10.5396 0.0000 0.0000
0.0000 10.5396 0.0000
0.0000 0.0000 3.7968
Ca Si
8 8
direct
0.0679 0.2091 0.0000
0.2091 0.9321 0.0000
0.2699 0.4133 0.5000
0.4133 0.7301 0.5000
0.5867 0.2699 0.5000
0.7301 0.5867 0.5000
0.7909 0.0679 0.0000
0.9321 0.7909 0.0000
0.0454 0.6067 0.5000
0.1861 0.6378 0.0000
0.3622 0.1861 0.0000
0.3933 0.0454 0.5000
0.6067 0.9546 0.5000
0.6378 0.8139 0.0000
0.8139 0.3622 0.0000
0.9546 0.3933 0.5000
```

Computed properties:
**Uncorrected formation energy**: -20.4 kJ per mole of atoms
**Density of states at the Fermi level**: 6.98 states/eV per cell

***

Entry 5:
Below is crystalline CaAc2As3Rh12 at its relaxed geometry, with properties calculated at the GGA-PBE level.

```
CaAc2As3Rh12
1.0
4.6367 2.6770 4.3529
-4.6367 2.6770 4.3529
0.0000 -5.3541 4.3529
Ca Ac As Rh
1 2 3 12
direct
0.0000 0.0000 0.0000
0.3556 0.3556 0.3556
0.6444 0.6444 0.6444
0.0000 0.0000 0.5000
0.0000 0.5000 0.0000
0.5000 0.0000 0.0000
0.1033 0.6230 0.6230
0.1827 0.1827 0.6811
0.1827 0.6811 0.1827
0.3189 0.8173 0.8173
0.3770 0.3770 0.8967
0.3770 0.8967 0.3770
0.6230 0.1033 0.6230
0.6230 0.6230 0.1033
0.6811 0.1827 0.1827
0.8173 0.3189 0.8173
0.8173 0.8173 0.3189
0.8967 0.3770 0.3770
```

Computed properties:
**Density of states at the Fermi level**: 20.32 states/eV per cell
**Energy of formation**: -183 meV per atom

***

Entry 6:
Below is crystalline LaZnTe2N at its relaxed geometry, with properties calculated at the GGA-PBE level.

```
LaZnTe2N
1.0
6.5277 0.0000 0.0000
0.0000 6.5277 0.0000
0.0000 0.0000 4.0016
La Zn Te N
1 1 2 1
direct
0.0000 0.0000 0.0000
0.5000 0.5000 0.5000
0.0000 0.5000 0.0000
0.5000 0.0000 0.0000
0.0000 0.0000 0.5000
```

Computed properties:
**Uncorrected formation energy**: 29.6 kJ per mole of atoms
**Density of states at the Fermi level**: 4.32 states/eV per cell
**Distance to the lowest polymorph of the same formula**: 0.398 eV/atom

***

Entry 7:
Below is crystalline NdCu8Rh2 at its relaxed geometry, with properties calculated at the GGA-PBE level.

```
NdCu8Rh2
1.0
6.1768 0.0000 0.0000
0.0000 6.1768 0.0000
0.0000 0.0000 4.8131
Nd Cu Rh
1 8 2
direct
0.0000 0.0000 0.0000
0.3022 0.3022 0.2466
0.3022 0.3022 0.7534
0.3022 0.6978 0.2466
0.3022 0.6978 0.7534
0.6978 0.3022 0.2466
0.6978 0.3022 0.7534
0.6978 0.6978 0.2466
0.6978 0.6978 0.7534
0.0000 0.5000 0.5000
0.5000 0.0000 0.5000
```

Computed properties:
**Density of states at the Fermi level**: 6.15 states/eV per cell
**Energy of formation**: 314 meV per atom

***

Entry 8:
Below is crystalline TmCd5Hg2 at its relaxed geometry, with properties calculated at the GGA-PBE level.

```
TmCd5Hg2
1.0
6.6108 0.0000 0.0000
0.0000 12.9427 0.0000
0.0000 0.0000 4.3936
Tm Cd Hg
2 10 4
direct
0.0000 0.0000 0.0000
0.5000 0.5000 0.0000
0.0000 0.5000 0.0000
0.0350 0.2583 0.0000
0.2328 0.6286 0.5000
0.2672 0.1286 0.5000
0.4650 0.7583 0.0000
0.5000 0.0000 0.0000
0.5350 0.2417 0.0000
0.7328 0.8714 0.5000
0.7672 0.3714 0.5000
0.9650 0.7417 0.0000
0.2224 0.8761 0.5000
0.2776 0.3761 0.5000
0.7224 0.6239 0.5000
0.7776 0.1239 0.5000
```

Computed properties:
**Density of states at the Fermi level**: 6.67 states/eV per cell
**Energy of formation**: -116 meV per atom

***

Entry 9:
Below is crystalline Sm2Y3Ga2 at its relaxed geometry, with properties calculated at the GGA-PBE level.

```
Sm2Y3Ga2
1.0
6.4974 -1.9024 0.0000
6.4974 1.9024 0.0000
-3.7642 0.0000 8.1328
Sm Y Ga
2 3 2
direct
0.1485 0.1485 0.3109
0.8515 0.8515 0.6891
0.3857 0.3857 0.0592
0.5000 0.5000 0.5000
0.6143 0.6143 0.9408
0.1783 0.1783 0.7229
0.8217 0.8217 0.2771
```

Computed properties:
**Density of states at the Fermi level**: 8.26 states/eV per cell
**Energy of formation**: -330 meV per atom

***

Entry 10:
Below is crystalline BaLi8Pd4 at its relaxed geometry, with properties calculated at the GGA-PBE level.

```
BaLi8Pd4
1.0
-4.5307 4.5307 2.7889
4.5307 -4.5307 2.7889
4.5307 4.5307 -2.7889
Ba Li Pd
1 8 4
direct
0.0000 0.0000 0.0000
0.0000 0.3467 0.3467
0.0000 0.6533 0.6533
0.2649 0.5000 0.7649
0.3467 0.0000 0.3467
0.5000 0.2649 0.7649
0.5000 0.7351 0.2351
0.6533 0.0000 0.6533
0.7351 0.5000 0.2351
0.0000 0.0000 0.5000
0.0000 0.5000 0.0000
0.5000 0.0000 0.0000
0.5000 0.5000 0.5000
```

Computed properties:
**Density of states at the Fermi level**: 4.52 states/eV per cell
**Energy of formation**: -353 meV per atom